(1)
A plane-wave DFT calculation with PBE was carried out for a geometry-optimized Tb4SmSi4 structure.

Calculated density ... 6.23 g cm⁻³
Raw formation energy ... -0.470 eV per atom

abc: 9.0948 9.0948 5.7900
angles: 90.00 90.00 90.00
Element x y z (fractional)
Tb: 0.0822 0.6544 0.1263
Tb: 0.1544 0.9178 0.6263
Tb: 0.3456 0.5822 0.6263
Tb: 0.4178 0.8456 0.1263
Tb: 0.5822 0.1544 0.8737
Tb: 0.6544 0.4178 0.3737
Tb: 0.8456 0.0822 0.3737
Tb: 0.9178 0.3456 0.8737
Sm: 0.2500 0.2500 0.2500
Sm: 0.7500 0.7500 0.7500
Si: 0.0275 0.6080 0.6242
Si: 0.1080 0.9725 0.1242
Si: 0.3920 0.5275 0.1242
Si: 0.4725 0.8920 0.6242
Si: 0.5275 0.1080 0.3758
Si: 0.6080 0.4725 0.8758
Si: 0.8920 0.0275 0.8758
Si: 0.9725 0.3920 0.3758

***

(2)
A plane-wave DFT calculation with PBE was carried out for a geometry-optimized TbSmSi structure.

Relative energy among the computed polymorphs ... 0.163 eV per atom
Calculated density ... 6.13 g cm⁻³
Raw formation energy ... -0.297 eV per atom

abc: 8.9809 8.2177 7.4294
angles: 69.85 59.20 50.95
Element x y z (fractional)
Tb: 0.0000 0.0000 0.0000
Tb: 0.0000 0.0000 0.5000
Tb: 0.0000 0.5000 0.0000
Tb: 0.5000 0.0000 0.0000
Sm: 0.2437 0.2437 0.5063
Sm: 0.4937 0.4937 0.7563
Sm: 0.5063 0.5063 0.2437
Sm: 0.7563 0.7563 0.4937
Si: 0.1727 0.5773 0.1727
Si: 0.4227 0.8273 0.4227
Si: 0.5773 0.1727 0.5773
Si: 0.8273 0.4227 0.8273

***

(3)
A plane-wave DFT calculation with PBE was carried out for a geometry-optimized TbSmSi2 structure.

Relative energy among the computed polymorphs ... 0.002 eV per atom
Calculated density ... 6.71 g cm⁻³
Raw formation energy ... -0.805 eV per atom

abc: 3.8774 5.7783 5.7783
angles: 44.28 90.00 90.00
Element x y z (fractional)
Tb: 0.0000 0.0000 0.0000
Sm: 0.5000 0.2802 0.2802
Si: 0.0000 0.7133 0.7133
Si: 0.5000 0.5643 0.5643